Entry 1:
Crystalline Na4B7C at its relaxed geometry. Source: Alexandria, functional PBE.

Cell: 2.9737 2.9737 34.4726 Å, 90.00 90.00 120.00°
Fractional positions:
Na: 0.0000 0.0000 0.0000
Na: 0.0000 0.0000 0.1262
Na: 0.0000 0.0000 0.2486
Na: 0.0000 0.0000 0.3742
Na: 0.0000 0.0000 0.5000
Na: 0.0000 0.0000 0.6258
Na: 0.0000 0.0000 0.7514
Na: 0.0000 0.0000 0.8738
B: 0.3333 0.6667 0.0632
B: 0.3333 0.6667 0.1874
B: 0.3333 0.6667 0.3114
B: 0.3333 0.6667 0.4373
B: 0.3333 0.6667 0.5627
B: 0.3333 0.6667 0.6886
B: 0.3333 0.6667 0.9368
B: 0.6667 0.3333 0.0632
B: 0.6667 0.3333 0.3114
B: 0.6667 0.3333 0.4373
B: 0.6667 0.3333 0.5627
B: 0.6667 0.3333 0.6886
B: 0.6667 0.3333 0.8126
B: 0.6667 0.3333 0.9368
C: 0.3333 0.6667 0.8126
C: 0.6667 0.3333 0.1874


Entry 2:
Crystalline LaFe2As at its relaxed geometry. Source: Alexandria, functional PBE.

Cell: 4.4726 4.0858 4.4737 Å, 90.00 112.76 90.00°
Fractional positions:
La: 0.0000 0.0000 0.0000
Fe: 0.4851 0.0000 0.5157
Fe: 0.6525 0.5000 0.3469
As: 0.3079 0.5000 0.6817


Number 1: formation enthalpy at 0 K 264 meV/atom. Number 2: formation enthalpy at 0 K -169 meV/atom.